[1]
The following is a DFT calculation (PBE-GGA) of crystalline Na2GeAsSe5 at its relaxed geometry.

Cell lengths 3.691, 9.658, 13.172 Å; angles 90.00, 90.00, 101.02 degrees
Sites, in units of the cell vectors:
Na 0.877 0.754 0.811
Na 0.107 0.215 0.662
Na 0.123 0.246 0.311
Na 0.893 0.785 0.162
Ge 0.568 0.136 0.926
Ge 0.432 0.864 0.426
As 0.772 0.545 0.544
As 0.228 0.455 0.044
Se 0.349 0.698 0.993
Se 0.692 0.384 0.890
Se 0.505 0.010 0.774
Se 0.267 0.534 0.683
Se 0.958 0.916 0.541
Se 0.651 0.302 0.493
Se 0.308 0.616 0.390
Se 0.495 0.990 0.274
Se 0.733 0.466 0.183
Se 0.042 0.084 0.041

Size of the total moment, μB per cell: 0.00
ΔE_f (raw), kJ per mole of atoms: -47.7

***

[2]
The following is a DFT calculation (PBE-GGA) of crystalline LiTl2IO6 at its relaxed geometry.

Cell lengths 5.679, 5.679, 5.679 Å; angles 60.00, 60.00, 60.00 degrees
Sites, in units of the cell vectors:
Li 0.500 0.500 0.500
Tl 0.750 0.750 0.750
Tl 0.250 0.250 0.250
I 0.000 0.000 0.000
O 0.237 0.763 0.763
O 0.237 0.763 0.237
O 0.237 0.237 0.763
O 0.763 0.763 0.237
O 0.763 0.237 0.237
O 0.763 0.237 0.763

Size of the total moment, μB per cell: 0.00
ΔE_f (raw), kJ per mole of atoms: -57.1

***

[3]
The following is a DFT calculation (PBE-GGA) of crystalline Sr2FeCo at its relaxed geometry.

Cell lengths 8.212, 8.212, 6.569 Å; angles 51.32, 51.32, 90.00 degrees
Sites, in units of the cell vectors:
Sr 0.658 0.125 0.250
Sr 0.092 0.625 0.250
Sr 0.375 0.342 0.750
Sr 0.875 0.908 0.750
Co 0.000 0.000 0.000
Co 0.750 0.250 0.500
Fe 0.500 0.500 0.000
Fe 0.250 0.750 0.500

E above lowest polymorph, meV/atom: 785
Size of the total moment, μB per cell: 6.69
ΔH_f (0 K), eV/f.u.: 3.929

***

[4]
The following is a DFT calculation (PBE-GGA) of crystalline BeTlI2O at its relaxed geometry.

Cell lengths 6.118, 6.118, 4.094 Å; angles 90.00, 90.00, 90.00 degrees
Sites, in units of the cell vectors:
I 0.000 0.500 0.000
I 0.500 0.000 0.000
Be 0.500 0.500 0.500
Tl 0.000 0.000 0.000
O 0.000 0.000 0.500

E above lowest polymorph, meV/atom: 1404
Size of the total moment, μB per cell: 0.48
ΔE_f (raw), kJ per mole of atoms: 50.6

***

[5]
The following is a DFT calculation (PBE-GGA) of crystalline SrMgTe at its relaxed geometry.

Cell lengths 4.450, 4.450, 6.403 Å; angles 90.00, 90.00, 120.00 degrees
Sites, in units of the cell vectors:
Mg 0.000 0.000 0.939
Sr 0.333 0.667 0.365
Te 0.667 0.333 0.696

E above lowest polymorph, meV/atom: 38
Size of the total moment, μB per cell: 0.00
ΔE_f (raw), kJ per mole of atoms: -73.7

***

[6]
The following is a DFT calculation (PBE-GGA) of crystalline Sr3In4P at its relaxed geometry.

Cell lengths 6.421, 6.421, 16.480 Å; angles 90.00, 90.00, 135.50 degrees
Sites, in units of the cell vectors:
Sr 0.919 0.081 0.875
Sr 0.081 0.919 0.375
Sr 0.919 0.081 0.625
Sr 0.081 0.919 0.125
Sr 0.629 0.371 0.750
Sr 0.371 0.629 0.250
P 0.363 0.637 0.750
P 0.637 0.363 0.250
In 0.794 0.206 0.383
In 0.206 0.794 0.883
In 0.794 0.206 0.117
In 0.206 0.794 0.617
In 0.628 0.372 0.973
In 0.372 0.628 0.473
In 0.628 0.372 0.527
In 0.372 0.628 0.027

Size of the total moment, μB per cell: 0.00
ΔH_f (0 K), eV/f.u.: -4.093

***

[7]
The following is a DFT calculation (PBE-GGA) of crystalline DyThTcOs at its relaxed geometry.

Cell lengths 4.925, 4.925, 4.925 Å; angles 60.00, 60.00, 60.00 degrees
Sites, in units of the cell vectors:
Os 0.250 0.250 0.250
Tc 0.750 0.750 0.750
Th 0.500 0.500 0.500
Dy 0.000 0.000 0.000

Size of the total moment, μB per cell: 0.00
ΔH_f (0 K), eV/f.u.: -0.438

***

[8]
The following is a DFT calculation (PBE-GGA) of crystalline K2LaIr at its relaxed geometry.

Cell lengths 3.934, 4.131, 10.659 Å; angles 78.67, 90.00, 90.00 degrees
Sites, in units of the cell vectors:
Ir 0.500 0.994 0.640
K 0.000 0.844 0.934
K 0.500 0.158 0.308
La 0.000 0.505 0.618

E above lowest polymorph, meV/atom: 0
Size of the total moment, μB per cell: 0.00
ΔH_f (0 K), eV/f.u.: -0.322

***

[9]
The following is a DFT calculation (PBE-GGA) of crystalline Rb3AlBr at its relaxed geometry.

Cell lengths 6.584, 6.584, 6.584 Å; angles 90.00, 90.00, 90.00 degrees
Sites, in units of the cell vectors:
Br 0.000 0.000 0.000
Rb 0.000 0.500 0.000
Rb 0.000 0.000 0.500
Rb 0.500 0.000 0.000
Al 0.500 0.500 0.500

E above lowest polymorph, meV/atom: 0
Size of the total moment, μB per cell: 1.27
ΔE_f (raw), kJ per mole of atoms: -29.1

***

[10]
The following is a DFT calculation (PBE-GGA) of crystalline Tb2Dy6Y3 at its relaxed geometry.

Cell lengths 4.729, 4.729, 16.870 Å; angles 98.06, 98.06, 90.00 degrees
Sites, in units of the cell vectors:
Tb 0.454 0.454 0.908
Tb 0.546 0.546 0.092
Dy 0.120 0.620 0.241
Dy 0.620 0.120 0.241
Dy 0.880 0.380 0.759
Dy 0.380 0.880 0.759
Dy 0.694 0.694 0.388
Dy 0.306 0.306 0.612
Y 0.000 0.000 0.000
Y 0.798 0.798 0.596
Y 0.202 0.202 0.404

Size of the total moment, μB per cell: 0.00
ΔH_f (0 K), eV/f.u.: 3.042

***

[11]
The following is a DFT calculation (PBE-GGA) of crystalline K3Hg5Au2 at its relaxed geometry.

Cell lengths 6.875, 10.165, 10.165 Å; angles 81.22, 70.24, 70.24 degrees
Sites, in units of the cell vectors:
K 0.250 0.000 0.000
K 0.750 0.000 0.000
K 0.373 0.390 0.864
K 0.627 0.610 0.136
K 0.873 0.864 0.390
K 0.127 0.136 0.610
Hg 0.250 0.500 0.500
Hg 0.750 0.500 0.500
Hg 0.499 0.751 0.751
Hg 0.001 0.249 0.249
Hg 0.501 0.249 0.249
Hg 0.999 0.751 0.751
Hg 0.120 0.523 0.236
Hg 0.880 0.477 0.764
Hg 0.620 0.236 0.523
Hg 0.380 0.764 0.477
Au 0.147 0.708 0.999
Au 0.853 0.292 0.001
Au 0.647 0.999 0.708
Au 0.353 0.001 0.292

E above lowest polymorph, meV/atom: 7
Size of the total moment, μB per cell: 0.00
ΔH_f (0 K), eV/f.u.: -2.096

***

[12]
The following is a DFT calculation (PBE-GGA) of crystalline K2HoPbO4 at its relaxed geometry.

Cell lengths 3.536, 6.117, 6.616 Å; angles 108.20, 90.00, 90.00 degrees
Sites, in units of the cell vectors:
K 0.500 0.000 0.500
K 0.000 0.500 0.500
Ho 0.500 0.500 0.000
Pb 0.000 0.000 0.000
O 0.500 0.245 0.196
O 0.500 0.755 0.804
O 0.000 0.285 0.810
O 0.000 0.715 0.190

Size of the total moment, μB per cell: 0.00
ΔE_f (raw), kJ per mole of atoms: -187.6

***

Asked for final energy across the records above, the calculation gives -3.7526; -4.3864; -3.7509; -2.3059; -2.9034; -3.1877; -8.5139; -4.0764; -1.9656; -4.8385; -1.3452; -5.7340 eV per atom in order.